(1)
The following is a PBE calculation of crystalline Li3Th5Se8 at its relaxed geometry, from Alexandria via LeMat-Bulk.

Results
Its theoretical density is 7.58 g/cm3. The space-group type is No. 166. The value obtained for the uncorrected formation energy is -1.505 eV per atom.

The structure in POSCAR format:
```
Li3Th5Se8
1.0
7.077 0.000 4.054
2.377 6.666 4.054
-0.082 -0.057 8.347
Th Se Li
5 8 3
direct
0.500 0.500 0.500
0.000 0.500 0.000
0.000 0.000 0.000
0.500 0.000 0.000
0.500 0.500 0.000
0.250 0.250 0.731
0.755 0.755 0.734
0.769 0.250 0.731
0.245 0.245 0.266
0.250 0.769 0.731
0.231 0.750 0.269
0.750 0.750 0.269
0.750 0.231 0.269
0.000 0.500 0.500
0.500 0.000 0.500
0.000 0.000 0.500
```


(2)
The following is a PBE calculation of crystalline Ti2NbSn at its relaxed geometry, from Alexandria via LeMat-Bulk.

Results
Its theoretical density is 6.48 g/cm3. For the formation energy, the calculation gives 0.351 eV per atom. The space-group type is No. 122.

The structure in POSCAR format:
```
Ti2NbSn
1.0
-6.011 -0.320 -4.447
4.147 -3.143 -5.379
-1.547 -4.282 -3.897
Nb Ti Sn
2 4 2
direct
0.250 0.750 0.500
0.500 0.500 0.000
0.875 0.859 0.750
0.375 0.391 0.750
0.609 0.125 0.250
0.141 0.625 0.250
0.000 0.000 0.000
0.750 0.250 0.500
```


(3)
The following is a PBE calculation of crystalline TaTlCl3 at its relaxed geometry, from Alexandria via LeMat-Bulk.

Results
Its theoretical density is 5.00 g/cm3. The space-group type is No. 221. The value obtained for the uncorrected formation energy is 0.742 eV per atom.

The structure in POSCAR format:
```
TaTlCl3
1.0
5.465 0.000 0.000
0.000 5.465 0.000
0.000 0.000 5.465
Cl Tl Ta
3 1 1
direct
0.000 0.500 0.000
0.500 0.000 0.000
0.000 0.000 0.500
0.000 0.000 0.000
0.500 0.500 0.500
```


(4)
The following is a PBE calculation of crystalline Li2Pd2Au at its relaxed geometry, from Alexandria via LeMat-Bulk.

Results
Its theoretical density is 9.72 g/cm3. For the formation energy, the calculation gives -0.405 eV per atom. The space-group type is No. 12.

The structure in POSCAR format:
```
Li2Pd2Au
1.0
4.101 0.001 1.369
1.878 3.706 1.199
0.592 0.598 5.052
Li Pd Au
2 2 1
direct
0.406 0.405 0.783
0.594 0.595 0.217
0.211 0.212 0.365
0.789 0.788 0.635
0.000 0.000 0.000
```


(5)
The following is a PBE calculation of crystalline Nd3Sm7Dy2 at its relaxed geometry, from Alexandria via LeMat-Bulk.

Results
Its theoretical density is 7.00 g/cm3. For the formation energy, the calculation gives 0.281 eV per atom. The space-group type is No. 166.

The structure in POSCAR format:
```
Nd3Sm7Dy2
1.0
6.452 0.000 1.419
3.070 5.675 1.419
0.755 0.450 11.947
Nd Dy Sm
3 2 7
direct
0.847 0.847 0.460
0.000 0.000 0.000
0.153 0.153 0.540
0.666 0.666 0.001
0.334 0.334 0.999
0.919 0.414 0.252
0.500 0.500 0.500
0.586 0.586 0.748
0.586 0.081 0.748
0.081 0.586 0.748
0.414 0.414 0.252
0.414 0.919 0.252
```


(6)
The following is a PBE calculation of crystalline Cs2Ca2TeO6 at its relaxed geometry, from Alexandria via LeMat-Bulk.

Results
Its theoretical density is 4.47 g/cm3. The space-group type is No. 12. The value obtained for the uncorrected formation energy is -1.966 eV per atom.

The structure in POSCAR format:
```
Cs2Ca2TeO6
1.0
-0.359 1.824 -5.602
-3.872 -4.007 1.948
-2.802 5.864 3.225
Cs O Te Ca
2 6 1 2
direct
0.829 0.171 0.000
0.171 0.829 0.000
0.948 0.664 0.343
0.664 0.948 0.343
0.052 0.336 0.657
0.222 0.222 0.343
0.336 0.052 0.657
0.778 0.778 0.657
0.000 0.000 0.500
0.665 0.335 0.500
0.335 0.665 0.500
```